Below is a relaxed Nd4Ho9Cd11 crystal, with properties calculated at the PBE level.

Summary:
symmetry = No. 65
energy of formation = -232 meV/atom

```
24
Lattice="8.059 -11.481 0.000 8.059 11.481 0.000 0.000 0.000 3.496" Properties=species:S:1:pos:R:3 pbc="T T T"
Nd 10.764 -1.896 1.748
Nd 5.354 1.896 1.748
Nd 10.764 1.896 1.748
Nd 5.354 -1.896 1.748
Ho 6.209 5.262 1.748
Ho 9.908 -5.262 1.748
Ho 6.209 -5.262 1.748
Ho 9.908 5.262 1.748
Ho 14.353 -2.224 1.748
Ho 1.765 2.224 1.748
Ho 14.353 2.224 1.748
Ho 1.765 -2.224 1.748
Ho 8.059 0.000 1.748
Cd 12.454 -4.203 0.000
Cd 3.663 4.203 0.000
Cd 12.454 4.203 0.000
Cd 3.663 -4.203 0.000
Cd 8.059 3.007 0.000
Cd 8.059 -3.007 0.000
Cd 8.059 7.227 0.000
Cd 8.059 -7.227 0.000
Cd 0.000 0.000 0.000
Cd 12.886 0.000 0.000
Cd 3.231 0.000 0.000
```